Record 1
VASP calculation (PBE-GGA) on an optimized crystal structure of ZnFeTc.

**SG**: Fmm2 (42)
**Electronic total energy**: -6.58 eV per atom
**Energy above the lowest structure with this stoichiometry**: 0.066 eV per atom
**ΔH_f (0 K)**: 0.124 eV/atom

Cell lengths 3.0973, 4.1766, 12.6273 Å; angles 90.00, 90.00, 90.00 degrees
Positions (direct):
Zn (0.0000, 0.0000, 0.0000)
Zn (0.0000, 0.5000, 0.5000)
Zn (0.5000, 0.0000, 0.5000)
Zn (0.5000, 0.5000, 0.0000)
Fe (0.0000, 0.0000, 0.6630)
Fe (0.0000, 0.5000, 0.1630)
Fe (0.5000, 0.0000, 0.1630)
Fe (0.5000, 0.5000, 0.6630)
Tc (0.0000, 0.0000, 0.3240)
Tc (0.0000, 0.5000, 0.8240)
Tc (0.5000, 0.0000, 0.8240)
Tc (0.5000, 0.5000, 0.3240)

***

Record 2
VASP calculation (PBE-GGA) on an optimized crystal structure of TlHgPbCl5.

**ΔE_f (raw)**: -0.91 eV/atom
**SG**: C2/c (15)
**Electronic total energy**: -2.86 eV per atom

Cell lengths 7.8511, 7.8511, 10.3374 Å; angles 103.43, 103.43, 107.28 degrees
Positions (direct):
Tl (0.1598, 0.8402, 0.7500)
Tl (0.8402, 0.1598, 0.2500)
Hg (0.1797, 0.8203, 0.2500)
Hg (0.8203, 0.1797, 0.7500)
Pb (0.5000, 0.5000, 0.0000)
Pb (0.5000, 0.5000, 0.5000)
Cl (0.1170, 0.2338, 0.9456)
Cl (0.1658, 0.5827, 0.3816)
Cl (0.2338, 0.1170, 0.4456)
Cl (0.4059, 0.5941, 0.7500)
Cl (0.4173, 0.8342, 0.1184)
Cl (0.5827, 0.1658, 0.8816)
Cl (0.5941, 0.4059, 0.2500)
Cl (0.7662, 0.8830, 0.5544)
Cl (0.8342, 0.4173, 0.6184)
Cl (0.8830, 0.7662, 0.0544)

***

Record 3
VASP calculation (PBE-GGA) on an optimized crystal structure of ZnTc.

**SG**: P6_3/mmc (194)
**Electronic total energy**: -5.57 eV per atom
**Energy above the lowest structure with this stoichiometry**: 0.295 eV per atom
**ΔH_f (0 K)**: 0.254 eV/atom

Cell lengths 4.1891, 4.1891, 7.8123 Å; angles 90.00, 90.00, 120.00 degrees
Positions (direct):
Zn (0.0000, 0.0000, 0.2500)
Zn (0.0000, 0.0000, 0.7500)
Zn (0.3333, 0.6667, 0.2500)
Zn (0.6667, 0.3333, 0.7500)
Tc (0.3333, 0.6667, 0.5728)
Tc (0.3333, 0.6667, 0.9272)
Tc (0.6667, 0.3333, 0.0728)
Tc (0.6667, 0.3333, 0.4272)

***

Record 4
VASP calculation (PBE-GGA) on an optimized crystal structure of CrFe2Rh3.

**SG**: Cmmm (65)
**Electronic total energy**: -8.17 eV per atom
**ΔH_f (0 K)**: -0.073 eV/atom

Cell lengths 6.0594, 6.0594, 7.2493 Å; angles 90.00, 90.00, 143.21 degrees
Positions (direct):
Cr (0.1587, 0.8413, 0.0000)
Cr (0.8413, 0.1587, 0.0000)
Fe (0.1701, 0.8299, 0.5000)
Fe (0.5000, 0.5000, 0.0000)
Fe (0.5000, 0.5000, 0.5000)
Fe (0.8299, 0.1701, 0.5000)
Rh (0.0000, 0.0000, 0.2518)
Rh (0.0000, 0.0000, 0.7482)
Rh (0.3319, 0.6681, 0.2399)
Rh (0.3319, 0.6681, 0.7601)
Rh (0.6681, 0.3319, 0.2399)
Rh (0.6681, 0.3319, 0.7601)

***

Record 5
VASP calculation (PBE-GGA) on an optimized crystal structure of BeHgAu2.

**SG**: Pmm2 (25)
**Electronic total energy**: -2.57 eV per atom
**Energy above the lowest structure with this stoichiometry**: 0.109 eV per atom
**ΔH_f (0 K)**: 0.078 eV/atom

Cell lengths 3.1851, 3.2797, 6.6838 Å; angles 90.00, 90.00, 90.00 degrees
Positions (direct):
Be (0.0000, 0.0000, 0.0000)
Hg (0.5000, 0.5000, 0.6757)
Au (0.0000, 0.0000, 0.3876)
Au (0.5000, 0.5000, 0.1046)

***

Record 6
VASP calculation (PBE-GGA) on an optimized crystal structure of SrZr2Fe.

**SG**: C2/m (12)
**Electronic total energy**: -6.48 eV per atom
**Energy above the lowest structure with this stoichiometry**: 0.114 eV per atom
**ΔH_f (0 K)**: 0.332 eV/atom

Cell lengths 11.1403, 3.3286, 5.6882 Å; angles 90.00, 114.61, 90.00 degrees
Positions (direct):
Sr (0.0000, 0.0000, 0.0000)
Sr (0.5000, 0.5000, 0.0000)
Zr (0.1872, 0.0000, 0.6656)
Zr (0.3128, 0.5000, 0.3344)
Zr (0.6872, 0.5000, 0.6656)
Zr (0.8128, 0.0000, 0.3344)
Fe (0.0000, 0.5000, 0.5000)
Fe (0.5000, 0.0000, 0.5000)

***

Record 7
VASP calculation (PBE-GGA) on an optimized crystal structure of Zr2Ni2I.

**ΔE_f (raw)**: 0.08 eV/atom
**SG**: I4/mmm (139)
**Electronic total energy**: -5.96 eV per atom
**Energy above the lowest structure with this stoichiometry**: 0.215 eV per atom

Cell lengths 4.5604, 4.5604, 9.9013 Å; angles 90.00, 90.00, 90.00 degrees
Positions (direct):
Zr (0.0000, 0.5000, 0.2500)
Zr (0.0000, 0.5000, 0.7500)
Zr (0.5000, 0.0000, 0.2500)
Zr (0.5000, 0.0000, 0.7500)
Ni (0.0000, 0.0000, 0.1180)
Ni (0.0000, 0.0000, 0.8820)
Ni (0.5000, 0.5000, 0.3820)
Ni (0.5000, 0.5000, 0.6180)
I (0.0000, 0.0000, 0.5000)
I (0.5000, 0.5000, 0.0000)

***

Record 8
VASP calculation (PBE-GGA) on an optimized crystal structure of ZnH2O2.

**SG**: I4/mmm (139)
**Electronic total energy**: -3.76 eV per atom

Cell lengths 2.6460, 2.6460, 8.9423 Å; angles 90.00, 90.00, 90.00 degrees
Positions (direct):
Zn (0.0000, 0.0000, 0.0000)
Zn (0.5000, 0.5000, 0.5000)
H (0.0000, 0.5000, 0.2500)
H (0.0000, 0.5000, 0.7500)
H (0.5000, 0.0000, 0.2500)
H (0.5000, 0.0000, 0.7500)
O (0.0000, 0.0000, 0.3513)
O (0.0000, 0.0000, 0.6487)
O (0.5000, 0.5000, 0.1487)
O (0.5000, 0.5000, 0.8513)